Record 1
Density functional theory data (PBE) for crystalline YTaAgH2 at its relaxed geometry.

abc: 3.9276 3.9276 5.3735
angles: 90.00 90.00 90.00
With the nearest neighbours (Å) after each atom.
Space group P4/mmm (No. 123)
One atom of each set of equivalent atoms:
Y: 0.0000 0.0000 0.0000 (multiplicity 1)  4 Ag 2.78
Ta: 0.5000 0.5000 0.5000 (multiplicity 1)  4 H 1.96
Ag: 0.5000 0.5000 0.0000 (multiplicity 1)  2 Ta 2.69, 4 Y 2.78
H: 0.0000 0.5000 0.5000 (multiplicity 2)  2 Ta 1.96

Results
The mass density comes out at 7.61 g cm⁻³. The calculation puts the magnetic moment at 0.000 μB/cell. The value obtained for the density of states at the Fermi level is 3.9 states/eV per cell. The uncorrected energy is -26.0 eV per cell.



Record 2
Density functional theory data (PBE) for crystalline KCd2BiPt at its relaxed geometry.

abc: 5.3203 5.3203 5.4905
angles: 90.00 90.00 90.00
With the nearest neighbours (Å) after each atom.
Space group P4/mmm (No. 123)
One atom of each set of equivalent atoms:
K: 0.0000 0.0000 0.0000 (multiplicity 1)  4 Bi 3.76, 8 Cd 3.82
Cd: 0.0000 0.5000 0.5000 (multiplicity 2)  2 Pt 2.66
Bi: 0.5000 0.5000 0.0000 (multiplicity 1)  2 Pt 2.75
Pt: 0.5000 0.5000 0.5000 (multiplicity 1)  4 Cd 2.66, 2 Bi 2.75

Results
The mass density comes out at 7.14 g cm⁻³. The calculation puts the magnetic moment at 0.000 μB/cell. The value obtained for the density of states at the Fermi level is 2.6 states/eV per cell. The formation energy comes out at -0.159 eV per atom.